Entry 1:
This record from Alexandria describes a relaxed structure of AsW2Au. The functional is GGA-PBE.

a b c (Å): 3.137 3.137 7.061
angles (deg): 90.00 90.00 90.00
Fractional positions:
As 0.000 0.000 0.000
W 0.000 0.000 0.566
W 0.500 0.500 0.787
Au 0.500 0.500 0.299

---

Entry 2:
This record from Alexandria describes a relaxed structure of AsWAu. The functional is GGA-PBE.

Output
excess energy over the best structure of this formula in the dataset: 76 meV/atom

a b c (Å): 7.410 7.410 7.410
angles (deg): 157.68 157.68 31.77
Fractional positions:
As 0.000 0.000 0.000
W 0.628 0.628 0.000
Au 0.268 0.268 0.000

---

Entry 3:
This record from Alexandria describes a relaxed structure of AsW2Au. The functional is GGA-PBE.

a b c (Å): 5.370 5.370 5.370
angles (deg): 146.36 129.80 61.79
Fractional positions:
As 0.000 0.000 0.000
W 0.517 0.517 0.000
W 0.783 0.283 0.500
Au 0.246 0.746 0.500

---

Entry 4:
This record from Alexandria describes a relaxed structure of AsWAu2. The functional is GGA-PBE.

a b c (Å): 4.578 4.578 4.606
angles (deg): 119.89 119.89 89.84
Fractional positions:
As 0.000 0.000 0.000
W 0.747 0.253 0.500
Au 0.249 0.751 0.500
Au 0.498 0.502 0.000

---

Entry 5:
This record from Alexandria describes a relaxed structure of AsW2Au. The functional is GGA-PBE.

a b c (Å): 8.975 8.975 8.975
angles (deg): 18.79 18.79 18.79
Fractional positions:
As 0.000 0.000 0.000
W 0.256 0.256 0.256
W 0.744 0.744 0.744
Au 0.500 0.500 0.500

---

Entry 6:
This record from Alexandria describes a relaxed structure of AsW2Au. The functional is GGA-PBE.

a b c (Å): 2.803 2.803 9.463
angles (deg): 90.00 90.00 107.98
Fractional positions:
As 0.000 0.000 0.000
W 0.000 0.000 0.450
W 0.500 0.500 0.226
Au 0.500 0.500 0.696

---

Number 1: total magnetic moment 0.000 Bohr magnetons per cell, formation enthalpy at 0 K 0.37 eV/atom. Number 2: total magnetic moment 0.000 Bohr magnetons per cell, formation enthalpy at 0 K 0.41 eV/atom. Number 3: total magnetic moment 0.000 Bohr magnetons per cell, formation enthalpy at 0 K 0.48 eV/atom. Number 4: total magnetic moment 0.000 Bohr magnetons per cell, formation enthalpy at 0 K 0.54 eV/atom. Number 5: total magnetic moment 0.000 Bohr magnetons per cell, formation enthalpy at 0 K 0.46 eV/atom. Number 6: total magnetic moment 0.000 Bohr magnetons per cell, formation enthalpy at 0 K 0.33 eV/atom.